This record from Alexandria via LeMat-Bulk describes Fe5Pt4 after structural relaxation. The functional is PBE.

E_tot: -0.5488 Ry per atom

abc: 7.4943 7.4943 5.2469
angles: 90.00 90.00 120.00
Space group P6_3/mcm (No. 193)
One atom of each set of equivalent atoms:
Fe (0.0000, 0.3322, 0.2500) (multiplicity 6)
Fe (0.3333, 0.6667, 0.0000) (multiplicity 4)
Pt (0.0000, 0.0000, 0.0000) (multiplicity 2)
Pt (0.0000, 0.3398, 0.7500) (multiplicity 6)

This record from Alexandria via LeMat-Bulk describes LaCuS2Cl after structural relaxation. The functional is PBE.

E_form (uncorrected): -0.7010 eV/atom

abc: 4.446 4.446 5.619
angles: 90.00 90.00 90.00
Space group P4/mmm (No. 123)
One atom of each set of equivalent atoms:
La (0.000, 0.000, 0.000) (multiplicity 1)
Cu (0.000, 0.000, 0.500) (multiplicity 1)
S (0.000, 0.500, 0.500) (multiplicity 2)
Cl (0.500, 0.500, 0.000) (multiplicity 1)

This record from Alexandria via LeMat-Bulk describes FeReSi2 after structural relaxation. The functional is PBE.

E_form (uncorrected): -0.1163 eV/atom

abc: 2.7805 2.7805 22.8992
angles: 90.00 90.00 120.00
Space group R-3m (No. 166, hexagonal axes)
One atom of each set of equivalent atoms:
Fe (0.0000, 0.0000, 0.0000) (multiplicity 3)
Re (0.0000, 0.0000, 0.5000) (multiplicity 3)
Si (0.0000, 0.0000, 0.2561) (multiplicity 6)

This record from Alexandria via LeMat-Bulk describes Al2GeRu after structural relaxation. The functional is PBE.

E_tot: -0.3794 Ry per atom

abc: 8.101 8.101 4.829
angles: 90.00 90.00 90.00
Space group I-42d (No. 122)
One atom of each set of equivalent atoms:
Al (0.157, 0.250, 0.125) (multiplicity 8)
Ge (0.000, 0.000, 0.500) (multiplicity 4)
Ru (0.000, 0.000, 0.000) (multiplicity 4)

This record from Alexandria via LeMat-Bulk describes Ge3Pd6Pt after structural relaxation. The functional is PBE.

E_tot: -0.4077 Ry per atom

abc: 7.591 4.072 10.368
angles: 90.00 92.10 90.00
Space group P2_1/m (No. 11)
One atom of each set of equivalent atoms:
Ge (0.120, 0.250, 0.160) (multiplicity 2)
Ge (0.258, 0.750, 0.519) (multiplicity 2)
Ge (0.379, 0.250, 0.849) (multiplicity 2)
Pd (0.064, 0.250, 0.918) (multiplicity 2)
Pd (0.092, 0.250, 0.439) (multiplicity 2)
Pd (0.185, 0.750, 0.748) (multiplicity 2)
Pd (0.218, 0.750, 0.283) (multiplicity 2)
Pd (0.327, 0.750, 0.016) (multiplicity 2)
Pd (0.435, 0.250, 0.594) (multiplicity 2)
Pt (0.446, 0.250, 0.208) (multiplicity 2)

This record from Alexandria via LeMat-Bulk describes YPaBiTe after structural relaxation. The functional is PBE.

E_form (uncorrected): -0.6012 eV/atom

abc: 7.619 7.619 7.619
angles: 90.00 90.00 90.00
Space group F-43m (No. 216)
One atom of each set of equivalent atoms:
Y (0.000, 0.000, 0.000) (multiplicity 4)
Pa (0.000, 0.000, 0.500) (multiplicity 4)
Bi (0.250, 0.250, 0.750) (multiplicity 4)
Te (0.250, 0.250, 0.250) (multiplicity 4)

This record from Alexandria via LeMat-Bulk describes LaBe2Se after structural relaxation. The functional is PBE.

E_form (uncorrected): 0.0961 eV/atom

abc: 4.067 4.067 10.336
angles: 90.00 90.00 90.00
Space group I4/mmm (No. 139)
One atom of each set of equivalent atoms:
La (0.000, 0.000, 0.000) (multiplicity 2)
Be (0.000, 0.500, 0.250) (multiplicity 4)
Se (0.000, 0.000, 0.500) (multiplicity 2)

This record from Alexandria via LeMat-Bulk describes PaCuAs after structural relaxation. The functional is PBE.

E_tot: -0.4649 Ry per atom

abc: 3.8829 3.8829 26.4730
angles: 90.00 90.00 120.00
Space group R-3m (No. 166, hexagonal axes)
One atom of each set of equivalent atoms:
Pa (0.0000, 0.0000, 0.1339) (multiplicity 6)
Cu (0.0000, 0.0000, 0.3048) (multiplicity 6)
As (0.0000, 0.0000, 0.3987) (multiplicity 6)

This record from Alexandria via LeMat-Bulk describes TiOs3O after structural relaxation. The functional is PBE.

E_form (uncorrected): 0.3801 eV/atom

abc: 4.079 4.079 4.079
angles: 90.00 90.00 90.00
Space group Pm-3m (No. 221)
One atom of each set of equivalent atoms:
Ti (0.000, 0.000, 0.000) (multiplicity 1)
Os (0.000, 0.500, 0.500) (multiplicity 3)
O (0.500, 0.500, 0.500) (multiplicity 1)

This record from Alexandria via LeMat-Bulk describes TaAlCrMo after structural relaxation. The functional is PBE.

E_tot: -0.6663 Ry per atom

abc: 6.279 6.279 6.279
angles: 90.00 90.00 90.00
Space group F-43m (No. 216)
One atom of each set of equivalent atoms:
Ta (0.000, 0.000, 0.000) (multiplicity 4)
Al (0.000, 0.000, 0.500) (multiplicity 4)
Cr (0.250, 0.250, 0.750) (multiplicity 4)
Mo (0.250, 0.250, 0.250) (multiplicity 4)

This record from Alexandria via LeMat-Bulk describes Li2RhAu after structural relaxation. The functional is PBE.

E_tot: -0.2819 Ry per atom

abc: 2.7899 2.7899 26.1745
angles: 90.00 90.00 120.00
Space group R-3m (No. 166, hexagonal axes)
One atom of each set of equivalent atoms:
Li (0.0000, 0.0000, 0.2454) (multiplicity 6)
Rh (0.0000, 0.0000, 0.5000) (multiplicity 3)
Au (0.0000, 0.0000, 0.0000) (multiplicity 3)

This record from Alexandria via LeMat-Bulk describes CuPb2F after structural relaxation. The functional is PBE.

E_form (uncorrected): -0.4901 eV/atom

abc: 6.820 6.820 6.820
angles: 90.00 90.00 90.00
Space group Fm-3m (No. 225)
One atom of each set of equivalent atoms:
Cu (0.000, 0.000, 0.000) (multiplicity 4)
Pb (0.250, 0.250, 0.250) (multiplicity 8)
F (0.000, 0.000, 0.500) (multiplicity 4)

This record from Alexandria via LeMat-Bulk describes TlCu2PbBr6 after structural relaxation. The functional is PBE.

E_form (uncorrected): -0.5663 eV/atom

abc: 7.171 7.424 8.921
angles: 91.72 113.00 117.83
Space group P1 (No. 1)
One atom of each set of equivalent atoms:
Tl (0.000, 0.000, 0.000) (multiplicity 1)
Cu (0.487, 0.234, 0.724) (multiplicity 1)
Cu (0.512, 0.767, 0.276) (multiplicity 1)
Pb (0.000, 0.501, 0.500) (multiplicity 1)
Br (0.173, 0.259, 0.732) (multiplicity 1)
Br (0.214, 0.450, 0.277) (multiplicity 1)
Br (0.456, 0.910, 0.746) (multiplicity 1)
Br (0.545, 0.092, 0.252) (multiplicity 1)
Br (0.783, 0.551, 0.721) (multiplicity 1)
Br (0.827, 0.743, 0.269) (multiplicity 1)

This record from Alexandria via LeMat-Bulk describes SbAsBr2 after structural relaxation. The functional is PBE.

E_form (uncorrected): 0.1669 eV/atom

abc: 6.588 6.951 9.474
angles: 90.00 90.00 90.00
Space group Fmmm (No. 69)
One atom of each set of equivalent atoms:
Sb (0.000, 0.000, 0.000) (multiplicity 4)
As (0.000, 0.000, 0.500) (multiplicity 4)
Br (0.000, 0.250, 0.250) (multiplicity 8)

This record from Alexandria via LeMat-Bulk describes Sb2S2Br after structural relaxation. The functional is PBE.

E_form (uncorrected): -0.1894 eV/atom

abc: 6.790 6.854 6.137
angles: 90.00 111.91 90.00
Space group C2/m (No. 12)
One atom of each set of equivalent atoms:
Sb (0.183, 0.000, 0.290) (multiplicity 4)
S (0.000, 0.236, 0.500) (multiplicity 4)
Br (0.000, 0.500, 0.000) (multiplicity 2)

This record from Alexandria via LeMat-Bulk describes Pm2ErHg4 after structural relaxation. The functional is PBE.

E_tot: -0.1859 Ry per atom

abc: 5.1327 5.1327 26.7206
angles: 90.00 90.00 120.00
Space group R-3m (No. 166, hexagonal axes)
One atom of each set of equivalent atoms:
Pm (0.0000, 0.0000, 0.2443) (multiplicity 6)
Er (0.0000, 0.0000, 0.0000) (multiplicity 3)
Hg (0.0000, 0.0000, 0.1266) (multiplicity 6)
Hg (0.0000, 0.0000, 0.3707) (multiplicity 6)

This record from Alexandria via LeMat-Bulk describes Tb2GaCo5Si2 after structural relaxation. The functional is PBE.

E_form (uncorrected): -0.4187 eV/atom

abc: 9.408 9.408 3.280
angles: 90.00 90.00 90.00
Space group P4/mbm (No. 127)
One atom of each set of equivalent atoms:
Tb (0.178, 0.322, 0.000) (multiplicity 4)
Ga (0.000, 0.000, 0.000) (multiplicity 2)
Co (0.000, 0.500, 0.500) (multiplicity 2)
Co (0.065, 0.784, 0.500) (multiplicity 8)
Si (0.119, 0.619, 0.000) (multiplicity 4)

This record from Alexandria via LeMat-Bulk describes Na5B7C3 after structural relaxation. The functional is PBE.

E_tot: -0.3886 Ry per atom

abc: 23.098 2.809 10.054
angles: 90.00 107.10 90.00
Space group C2/m (No. 12)
One atom of each set of equivalent atoms:
Na (0.000, 0.000, 0.000) (multiplicity 2)
Na (0.000, 0.500, 0.500) (multiplicity 2)
Na (0.099, 0.000, 0.693) (multiplicity 4)
Na (0.101, 0.500, 0.203) (multiplicity 4)
Na (0.200, 0.500, 0.897) (multiplicity 4)
Na (0.201, 0.000, 0.402) (multiplicity 4)
B (0.020, 0.000, 0.292) (multiplicity 4)
B (0.072, 0.500, 0.893) (multiplicity 4)
B (0.114, 0.500, 0.477) (multiplicity 4)
B (0.116, 0.000, 0.981) (multiplicity 4)
B (0.180, 0.000, 0.111) (multiplicity 4)
B (0.209, 0.000, 0.665) (multiplicity 4)
B (0.224, 0.500, 0.200) (multiplicity 4)
C (0.013, 0.500, 0.772) (multiplicity 4)
C (0.082, 0.000, 0.416) (multiplicity 4)
C (0.177, 0.500, 0.603) (multiplicity 4)

This record from Alexandria via LeMat-Bulk describes TcIr2Ru after structural relaxation. The functional is PBE.

E_tot: -0.6890 Ry per atom

abc: 2.7396 2.7396 26.5453
angles: 90.00 90.00 120.00
Space group R-3m (No. 166, hexagonal axes)
One atom of each set of equivalent atoms:
Tc (0.0000, 0.0000, 0.0000) (multiplicity 3)
Ir (0.0000, 0.0000, 0.2503) (multiplicity 6)
Ru (0.0000, 0.0000, 0.5000) (multiplicity 3)

This record from Alexandria via LeMat-Bulk describes CdSnRh3 after structural relaxation. The functional is PBE.

E_tot: -0.3359 Ry per atom

abc: 4.847 4.847 4.847
angles: 90.00 90.00 90.00
Space group Pm-3m (No. 221)
One atom of each set of equivalent atoms:
Cd (0.000, 0.000, 0.000) (multiplicity 1)
Sn (0.500, 0.500, 0.500) (multiplicity 1)
Rh (0.000, 0.500, 0.500) (multiplicity 3)

This record from Alexandria via LeMat-Bulk describes Rb3Sm3NbSe8 after structural relaxation. The functional is PBE.

E_form (uncorrected): -1.4948 eV/atom

abc: 14.460 8.347 9.515
angles: 90.00 120.44 90.00
Space group C2/m (No. 12)
One atom of each set of equivalent atoms:
Rb (0.000, 0.000, 0.000) (multiplicity 2)
Rb (0.250, 0.250, 0.000) (multiplicity 4)
Sm (0.000, 0.500, 0.500) (multiplicity 2)
Sm (0.250, 0.250, 0.500) (multiplicity 4)
Nb (0.000, 0.000, 0.500) (multiplicity 2)
Se (0.014, 0.231, 0.313) (multiplicity 8)
Se (0.216, 0.000, 0.688) (multiplicity 4)
Se (0.234, 0.500, 0.701) (multiplicity 4)

This record from Alexandria via LeMat-Bulk describes SrBe4Sb after structural relaxation. The functional is PBE.

E_form (uncorrected): 0.5445 eV/atom

abc: 7.346 7.346 7.346
angles: 90.00 90.00 90.00
Space group F-43m (No. 216)
One atom of each set of equivalent atoms:
Sr (0.000, 0.000, 0.000) (multiplicity 4)
Be (0.136, 0.136, 0.636) (multiplicity 16)
Sb (0.250, 0.250, 0.250) (multiplicity 4)

This record from Alexandria via LeMat-Bulk describes TmMgS3 after structural relaxation. The functional is PBE.

E_form (uncorrected): -1.2622 eV/atom

abc: 7.636 11.477 6.734
angles: 90.00 120.69 90.00
Space group C2/m (No. 12)
One atom of each set of equivalent atoms:
Tm (0.218, 0.000, 0.249) (multiplicity 4)
Mg (0.000, 0.339, 0.000) (multiplicity 4)
S (0.076, 0.150, 0.849) (multiplicity 8)
S (0.085, 0.500, 0.294) (multiplicity 4)